# 1
Compound: FeCo2F5
Source: the Alexandria database
Functional: PBE+U
Structure: relaxed

## Properties
- Raw total energy: -0.3670 Ry per atom
- Space-group type: C2/c (15)

```
FeCo2F5
1.0
4.242 -4.291 0.000
4.242 4.291 0.000
-4.055 0.000 6.379
Fe Co F
2 4 10
direct
0.129 0.871 0.750
0.871 0.129 0.250
0.000 0.500 0.000
0.500 0.000 0.500
0.500 0.500 0.000
0.500 0.500 0.500
0.161 0.595 0.832
0.201 0.218 0.933
0.218 0.201 0.433
0.344 0.656 0.250
0.405 0.839 0.668
0.595 0.161 0.332
0.656 0.344 0.750
0.782 0.799 0.567
0.799 0.782 0.067
0.839 0.405 0.168
```

=====

# 2
Compound: Fe2CoF5
Source: the Alexandria database
Functional: PBE+U
Structure: relaxed

## Properties
- Raw total energy: -0.3788 Ry per atom
- Space-group type: C2/c (15)

```
Fe2CoF5
1.0
4.399 -4.121 0.000
4.399 4.121 0.000
-3.519 0.000 6.477
Fe Co F
4 2 10
direct
0.000 0.000 0.000
0.000 0.000 0.500
0.000 0.500 0.000
0.500 0.000 0.500
0.419 0.581 0.750
0.581 0.419 0.250
0.123 0.667 0.856
0.148 0.852 0.250
0.246 0.262 0.563
0.262 0.246 0.063
0.333 0.877 0.644
0.667 0.123 0.356
0.738 0.754 0.937
0.754 0.738 0.437
0.852 0.148 0.750
0.877 0.333 0.144
```

=====

# 3
Compound: Fe2CoF6
Source: the Alexandria database
Functional: PBE+U
Structure: relaxed

## Properties
- Raw total energy: -0.3960 Ry per atom
- Space-group type: P2_1/c (14)

```
Fe2CoF6
1.0
5.524 0.000 0.000
0.000 4.875 0.000
-5.408 0.000 8.844
Fe Co F
4 2 12
direct
0.186 0.000 0.186
0.186 0.500 0.686
0.814 0.000 0.814
0.814 0.500 0.314
0.500 0.000 0.000
0.500 0.500 0.500
0.165 0.225 0.829
0.165 0.275 0.329
0.175 0.696 0.502
0.175 0.804 0.002
0.495 0.726 0.331
0.495 0.774 0.831
0.505 0.226 0.169
0.505 0.274 0.669
0.825 0.196 0.998
0.825 0.304 0.498
0.835 0.725 0.671
0.835 0.775 0.171
```

=====

# 4
Compound: Fe2CoF2
Source: the Alexandria database
Functional: PBE+U
Structure: relaxed

## Properties
- Space-group type: I4/mmm (139)
- Energy above the lowest structure with this stoichiometry: 0.0 meV per atom

```
Fe2CoF2
1.0
-2.219 2.219 3.579
2.219 -2.219 3.579
2.219 2.219 -3.579
Fe Co F
2 1 2
direct
0.250 0.750 0.500
0.750 0.250 0.500
0.000 0.000 0.000
0.314 0.314 0.000
0.686 0.686 0.000
```

=====

# 5
Compound: FeCoF2
Source: the Alexandria database
Functional: PBE+U
Structure: relaxed

## Properties
- Space-group type: I-42d (122)
- Energy above the lowest structure with this stoichiometry: 27.1 meV per atom

```
FeCoF2
1.0
-1.993 1.993 6.745
1.993 -1.993 6.745
1.993 1.993 -6.745
Fe Co F
2 2 4
direct
0.000 0.000 0.000
0.750 0.250 0.500
0.250 0.750 0.500
0.500 0.500 0.000
0.108 0.625 0.983
0.375 0.358 0.483
0.642 0.125 0.017
0.875 0.892 0.517
```

=====

# 6
Compound: Fe2CoF8
Source: the Alexandria database
Functional: PBE+U
Structure: relaxed

## Properties
- Raw total energy: -0.3769 Ry per atom
- Space-group type: C2/m (12)

```
Fe2CoF8
1.0
4.135 -3.222 0.000
4.135 3.222 0.000
-1.179 0.000 4.948
Fe Co F
2 1 8
direct
0.182 0.182 0.442
0.818 0.818 0.558
0.500 0.500 0.000
0.063 0.063 0.738
0.166 0.549 0.690
0.319 0.319 0.189
0.451 0.834 0.310
0.549 0.166 0.690
0.681 0.681 0.811
0.834 0.451 0.310
0.937 0.937 0.262
```

=====

# 7
Compound: Fe4CoF12
Source: the Alexandria database
Functional: PBE+U
Structure: relaxed

## Properties
- Raw total energy: -0.3898 Ry per atom
- Space-group type: C2/m (12)

```
Fe4CoF12
1.0
5.323 -3.882 0.000
5.323 3.882 0.000
-4.914 0.000 5.668
Fe Co F
4 1 12
direct
0.000 0.500 0.000
0.000 0.500 0.500
0.500 0.000 0.000
0.500 0.000 0.500
0.000 0.000 0.000
0.001 0.610 0.309
0.185 0.772 0.799
0.225 0.225 0.073
0.228 0.815 0.201
0.295 0.295 0.501
0.390 0.999 0.691
0.610 0.001 0.309
0.705 0.705 0.499
0.772 0.185 0.799
0.775 0.775 0.927
0.815 0.228 0.201
0.999 0.390 0.691
```

=====

# 8
Compound: FeCoF5
Source: the Alexandria database
Functional: PBE+U
Structure: relaxed

## Properties
- Raw total energy: -0.3766 Ry per atom
- Space-group type: Immm (71)

```
FeCoF5
1.0
-1.895 3.224 3.878
1.895 -3.224 3.878
1.895 3.224 -3.878
Fe Co F
1 1 5
direct
0.000 0.000 0.000
0.500 0.500 0.000
0.000 0.500 0.500
0.251 0.251 0.000
0.306 0.000 0.306
0.694 0.000 0.694
0.749 0.749 0.000
```

=====

no.,size of the total moment (μB/atom)
1,1.128
2,1.277
3,1.222
4,1.856
5,1.464
6,1.182
7,1.235
8,1.143